{
  "formula": "La2Tb5Sc2",
  "functional": "PBE",
  "state": "optimized geometry",
  "cell": [[4.867, 0.000, -1.057], [-0.282, 7.820, -1.298], [-0.858, -1.115, 7.777]],
  "species": ["La", "La", "Tb", "Tb", "Tb", "Tb", "Tb", "Sc", "Sc"],
  "frac_coords": [[0.893, 0.336, 0.785], [0.107, 0.664, 0.215], [0.665, 0.004, 0.330], [0.335, 0.996, 0.670], [0.781, 0.666, 0.562], [0.219, 0.334, 0.438], [0.000, 0.000, 0.000], [0.557, 0.334, 0.113], [0.443, 0.666, 0.887]],
  "dos_at_fermi_per_ev_cell": 14.7,
  "ef_ev_per_atom": 0.05,
  "magnetic_moment_mub_per_fu": 0.0
}


{
  "formula": "La4TbSc",
  "functional": "PBE",
  "state": "optimized geometry",
  "cell": [[5.908, 0.000, 0.000], [2.954, 5.677, -0.968], [2.954, -0.954, 6.226]],
  "species": ["La", "La", "La", "La", "Tb", "Sc"],
  "frac_coords": [[0.653, 0.694, 0.000], [0.347, 0.306, 0.000], [0.139, 0.172, 0.550], [0.861, 0.828, 0.450], [0.500, 0.500, 0.500], [0.000, 0.000, 0.000]],
  "relative_energy_mev_per_atom": 0,
  "dos_at_fermi_per_ev_cell": 11.3,
  "ef_ev_per_atom": 0.11,
  "magnetic_moment_mub_per_fu": 0.0
}